CaTi2Ir2 | GGA-PBE | relaxed

abc: 7.7600 7.7600 2.8951
angles: 90.00 90.00 90.00
Last column: nearest neighbours and their distance in Å.
Positions (direct):
Ca (0.0000, 0.0000, 0.0000)  2 Ca 2.90, 4 Ti 2.99
Ca (0.5000, 0.5000, 0.0000)  2 Ca 2.90, 4 Ti 2.99
Ti (0.1427, 0.3573, 0.0000)  6 Ir 2.69-2.70, 2 Ti 2.90, 2 Ca 2.99
Ti (0.3573, 0.8573, 0.0000)  6 Ir 2.69-2.70, 2 Ti 2.90, 2 Ca 2.99
Ti (0.6427, 0.1427, 0.0000)  6 Ir 2.69-2.70, 2 Ti 2.90, 2 Ca 2.99
Ti (0.8573, 0.6427, 0.0000)  6 Ir 2.69-2.70, 2 Ti 2.90, 2 Ca 2.99
Ir (0.1493, 0.6493, 0.5000)  6 Ti 2.69-2.70, 2 Ir 2.90
Ir (0.3507, 0.1493, 0.5000)  6 Ti 2.69-2.70, 2 Ir 2.90
Ir (0.6493, 0.8507, 0.5000)  6 Ti 2.69-2.70, 2 Ir 2.90
Ir (0.8507, 0.3507, 0.5000)  6 Ti 2.69-2.70, 2 Ir 2.90

Values from the calculation:
* ΔH_f (0 K): -13.4 kcal/mol of atoms
* symmetry: P4/mbm, No. 127
* total magnetization: 0.00 μB/cell
* density of states at the Fermi level: 5.01 states/eV/f.u.



TbDyTh2 | GGA-PBE | relaxed

abc: 5.6548 5.6548 5.6548
angles: 60.00 60.00 60.00
Last column: nearest neighbours and their distance in Å.
Positions (direct):
Tb (0.0000, 0.0000, 0.0000)  8 Th 3.46
Dy (0.5000, 0.5000, 0.5000)  8 Th 3.46
Th (0.2500, 0.2500, 0.2500)  4 Tb 3.46, 4 Dy 3.46
Th (0.7500, 0.7500, 0.7500)  4 Tb 3.46, 4 Dy 3.46

Values from the calculation:
* ΔH_f (0 K): 3.5 kcal/mol of atoms
* symmetry: Fm-3m, No. 225
* total magnetization: 0.00 μB/cell
* density of states at the Fermi level: 6.12 states/eV/f.u.



InCoPb2 | GGA-PBE | relaxed

abc: 3.2810 3.2810 8.7487
angles: 90.00 90.00 90.00
Last column: nearest neighbours and their distance in Å.
Positions (direct):
In (0.0000, 0.0000, 0.0000)  4 Co 2.71
Co (0.5000, 0.5000, 0.8407)  4 In 2.71, 4 Pb 2.93
Pb (0.0000, 0.0000, 0.6357)  4 Co 2.93, 1 In 3.19, 4 Pb 3.28
Pb (0.5000, 0.5000, 0.2920)  4 Pb 3.28, 4 In 3.45

Values from the calculation:
* ΔH_f (0 K): 5.0 kcal/mol of atoms
* symmetry: P4mm, No. 99
* total magnetization: 0.88 μB/cell
* density of states at the Fermi level: 2.46 states/eV/f.u.